Record 1
First-principles (GGA-PBE) data for an optimized crystal structure of Re2B, as listed in OQMD via LeMat-Bulk.

a = 7.1370 Å, b = 7.1370 Å, c = 7.1370 Å
α = 90.00°, β = 90.00°, γ = 90.00°
With the nearest neighbours (Å) after each atom.
Space group Fd-3m (No. 227, origin choice 2)
Unique sites:
Re 0.0000 0.0000 0.0000 (multiplicity 16)  6 Re 2.52
B 0.1250 0.1250 0.6250 (multiplicity 8)  12 Re 2.96, 4 B 3.09

Properties
The calculation puts the energy above the most stable polymorph in this dataset at 0.000 eV per atom. The calculation puts the total energy at -0.6378 Ry/atom. The value obtained for the total magnetic moment is 0.01 μB per formula unit.

***

Record 2
First-principles (GGA-PBE) data for an optimized crystal structure of ReB3, as listed in OQMD via LeMat-Bulk.

a = 2.8993 Å, b = 2.8993 Å, c = 9.2962 Å
α = 90.00°, β = 90.00°, γ = 120.00°
With the nearest neighbours (Å) after each atom.
Space group P6_3/mmc (No. 194)
Unique sites:
Re 0.0000 0.0000 0.0000 (multiplicity 2)  8 B 2.26-2.32
B 0.0000 0.0000 0.2500 (multiplicity 2)  6 B 1.86
B 0.3333 0.6667 0.1626 (multiplicity 4)  1 B 1.63

Properties
The calculation puts the energy above the most stable polymorph in this dataset at 0.058 eV per atom. The calculation puts the total energy at -0.6133 Ry/atom. The value obtained for the total magnetic moment is 0.00 μB per formula unit.

***

Record 3
First-principles (GGA-PBE) data for an optimized crystal structure of ReB4Sb, as listed in OQMD via LeMat-Bulk.

a = 2.9825 Å, b = 2.9825 Å, c = 8.5780 Å
α = 90.00°, β = 90.00°, γ = 120.00°
With the nearest neighbours (Å) after each atom.
Space group P6/mmm (No. 191)
Unique sites:
Re 0.0000 0.0000 0.0000 (multiplicity 1)  12 B 2.41
B 0.3333 0.6667 0.1965 (multiplicity 4)  3 B 1.72
Sb 0.0000 0.0000 0.5000 (multiplicity 1)  6 Sb 2.98, 12 B 3.12

Properties
The calculation puts the energy above the most stable polymorph in this dataset at 0.000 eV per atom. The calculation puts the total energy at -0.5042 Ry/atom. The value obtained for the total magnetic moment is 0.00 μB per formula unit.

***

Which of these has the highest total magnetic moment?
Re2B